[1]
## LaMgAlCd (PBE-GGA)

Data for a geometry-optimized LaMgAlCd structure.

a = 5.1903 Å, b = 5.1903 Å, c = 5.1903 Å
α = 60.00°, β = 60.00°, γ = 60.00°
Fractional coordinates of all 4 atoms:
Al  0.0000  0.0000  0.0000
Mg  0.7500  0.7500  0.7500
Cd  0.5000  0.5000  0.5000
La  0.2500  0.2500  0.2500

Results
total DFT energy (no corrections): -3.075 eV/atom
DFT formation energy: -1.122 eV per formula unit


[2]
## LaMg2AlCd2 (PBE-GGA)

Data for a geometry-optimized LaMg2AlCd2 structure.

a = 5.3356 Å, b = 5.3356 Å, c = 7.0437 Å
α = 112.26°, β = 112.26°, γ = 90.00°
Fractional coordinates of all 6 atoms:
Mg  0.7500  0.2500  0.5000
Mg  0.2500  0.7500  0.5000
Cd  0.7863  0.7863  0.5727
Al  0.0000  0.0000  0.0000
Cd  0.2137  0.2137  0.4273
La  0.5000  0.5000  0.0000

Results
total DFT energy (no corrections): -2.115 eV/atom
DFT formation energy: 1.000 eV per formula unit


[3]
## La2MnAlCd (PBE-GGA)

Data for a geometry-optimized La2MnAlCd structure.

a = 5.1848 Å, b = 5.1848 Å, c = 4.8579 Å
α = 90.00°, β = 90.00°, γ = 90.00°
Fractional coordinates of all 5 atoms:
Cd  0.5000  0.5000  0.5000
Mn  0.0000  0.0000  0.0000
La  0.5000  0.0000  0.0000
La  0.0000  0.5000  0.0000
Al  0.0000  0.0000  0.5000

Results
total DFT energy (no corrections): -4.821 eV/atom
DFT formation energy: -0.421 eV per formula unit


[4]
## La12Al4CdN3 (PBE-GGA)

Data for a geometry-optimized La12Al4CdN3 structure.

a = 9.1221 Å, b = 9.1221 Å, c = 9.1221 Å
α = 109.47°, β = 109.47°, γ = 109.47°
Fractional coordinates of all 20 atoms:
La  0.0000  0.2794  0.2794
N  0.5000  0.5000  0.0000
La  0.2500  0.5000  0.7500
Al  0.5000  0.0000  0.0000
La  0.2794  0.0000  0.2794
La  0.5000  0.7500  0.2500
La  0.2794  0.2794  0.0000
La  0.0000  0.7206  0.7206
Al  0.5000  0.5000  0.5000
La  0.7206  0.7206  0.0000
Cd  0.0000  0.0000  0.0000
La  0.7500  0.5000  0.2500
N  0.0000  0.5000  0.5000
Al  0.0000  0.5000  0.0000
La  0.7206  0.0000  0.7206
La  0.2500  0.7500  0.5000
La  0.5000  0.2500  0.7500
La  0.7500  0.2500  0.5000
Al  0.0000  0.0000  0.5000
N  0.5000  0.0000  0.5000

Results
total DFT energy (no corrections): -5.450 eV/atom